Compound: Pm6TlCd6
Source: Alexandria
Functional: PBE
Structure: relaxed

- Crystal system: hexagonal
- DFT formation energy: -0.169 eV/atom
- Final energy: -2.9662 eV per atom

abc: 6.1674 6.1674 11.3495
angles: 90.00 90.00 120.00
Positions (direct):
Pm  0.0000  0.0000  0.6594
Pm  0.0000  0.0000  0.3406
Pm  0.3333  0.6667  0.0000
Pm  0.6667  0.3333  0.0000
Pm  0.3333  0.6667  0.5000
Pm  0.6667  0.3333  0.5000
Tl  0.0000  0.0000  0.0000
Cd  0.0000  0.5000  0.7554
Cd  0.5000  0.0000  0.7554
Cd  0.5000  0.5000  0.7554
Cd  0.5000  0.0000  0.2446
Cd  0.0000  0.5000  0.2446
Cd  0.5000  0.5000  0.2446

Compound: Pm6TlCd
Source: Alexandria
Functional: PBE
Structure: relaxed

- ΔE to the lowest computed polymorph: 10.9 meV per atom
- Crystal system: tetragonal
- DFT formation energy: -0.152 eV/atom
- Final energy: -4.1252 eV per atom

abc: 4.9621 4.9621 9.8897
angles: 90.00 90.00 90.00
Positions (direct):
Pm  0.5000  0.5000  0.0000
Pm  0.5000  0.5000  0.5000
Pm  0.5000  0.0000  0.2491
Pm  0.5000  0.0000  0.7509
Pm  0.0000  0.5000  0.2491
Pm  0.0000  0.5000  0.7509
Tl  0.0000  0.0000  0.5000
Cd  0.0000  0.0000  0.0000

Compound: PmTl2Cd2
Source: Alexandria
Functional: PBE
Structure: relaxed

- ΔE to the lowest computed polymorph: 137.6 meV per atom
- Crystal system: tetragonal
- DFT formation energy: -0.073 eV/atom
- Final energy: -2.3357 eV per atom

abc: 4.5566 4.5566 7.2879
angles: 108.22 108.22 90.00
Positions (direct):
Pm  0.0000  0.0000  0.0000
Tl  0.3916  0.3916  0.7831
Tl  0.6084  0.6084  0.2169
Cd  0.7500  0.2500  0.5000
Cd  0.2500  0.7500  0.5000

Compound: Pm4TlCd
Source: Alexandria
Functional: PBE
Structure: relaxed

- ΔE to the lowest computed polymorph: 193.1 meV per atom
- Crystal system: monoclinic
- DFT formation energy: 0.017 eV/atom
- Final energy: -3.6967 eV per atom

abc: 5.2824 5.2878 9.1447
angles: 73.36 73.21 60.03
Positions (direct):
Pm  0.6234  0.6242  0.1289
Pm  0.3766  0.3758  0.8711
Pm  0.1266  0.1265  0.6202
Pm  0.8734  0.8735  0.3798
Tl  0.0000  0.0000  0.0000
Cd  0.5000  0.5000  0.5000

Compound: Pm3Tl2Cd
Source: Alexandria
Functional: PBE
Structure: relaxed

- ΔE to the lowest computed polymorph: 3.8 meV per atom
- Crystal system: tetragonal
- DFT formation energy: -0.365 eV/atom
- Final energy: -3.6817 eV per atom

abc: 3.8182 3.8182 11.9005
angles: 90.00 90.00 90.00
Positions (direct):
Pm  0.0000  0.0000  0.0000
Pm  0.0000  0.0000  0.6596
Pm  0.0000  0.0000  0.3404
Tl  0.5000  0.5000  0.8272
Tl  0.5000  0.5000  0.1728
Cd  0.5000  0.5000  0.5000

Compound: Pm3TlCd5
Source: Alexandria
Functional: PBE
Structure: relaxed

- Crystal system: hexagonal
- DFT formation energy: -0.304 eV/atom
- Final energy: -2.6590 eV per atom

abc: 6.5025 9.1532 9.1534
angles: 120.00 90.00 90.00
Positions (direct):
Pm  0.7500  0.3209  0.3209
Pm  0.7500  0.0000  0.6791
Pm  0.7500  0.6791  0.0000
Pm  0.2500  0.6791  0.6791
Pm  0.2500  0.0000  0.3209
Pm  0.2500  0.3209  0.0000
Tl  0.0000  0.0000  0.0000
Tl  0.5000  0.0000  0.0000
Cd  0.0000  0.6667  0.3334
Cd  0.5000  0.3333  0.6666
Cd  0.0000  0.3333  0.6666
Cd  0.5000  0.6667  0.3334
Cd  0.7500  0.6502  0.6502
Cd  0.7500  0.0000  0.3498
Cd  0.7500  0.3498  0.0000
Cd  0.2500  0.3498  0.3498
Cd  0.2500  0.0000  0.6502
Cd  0.2500  0.6502  0.0000

Compound: Pm6Tl6Cd
Source: Alexandria
Functional: PBE
Structure: relaxed

- Crystal system: hexagonal
- DFT formation energy: -0.215 eV/atom
- Final energy: -3.5696 eV per atom

abc: 6.5738 6.5737 10.7429
angles: 90.00 90.00 120.01
Positions (direct):
Pm  0.0000  0.0000  0.6913
Pm  0.0000  0.0000  0.3087
Pm  0.3334  0.6666  0.0000
Pm  0.6666  0.3334  0.0000
Pm  0.3333  0.6666  0.5000
Pm  0.6667  0.3334  0.5000
Tl  0.0000  0.5000  0.7502
Tl  0.5000  0.0000  0.7502
Tl  0.5000  0.5000  0.7502
Tl  0.5000  0.0000  0.2498
Tl  0.0000  0.5000  0.2498
Tl  0.5000  0.5000  0.2498
Cd  0.0000  0.0000  0.0000

Compound: Pm6TlCd
Source: Alexandria
Functional: PBE
Structure: relaxed

- ΔE to the lowest computed polymorph: 0.0 meV per atom
- Crystal system: tetragonal
- DFT formation energy: -0.163 eV/atom
- Final energy: -4.1360 eV per atom

abc: 5.2036 5.2036 10.0249
angles: 74.96 74.96 90.00
Positions (direct):
Pm  0.7506  0.7506  0.4988
Pm  0.6132  0.1132  0.7736
Pm  0.1132  0.6132  0.7736
Pm  0.3868  0.8868  0.2264
Pm  0.2494  0.2494  0.5012
Pm  0.8868  0.3868  0.2264
Tl  0.5000  0.5000  0.0000
Cd  0.0000  0.0000  0.0000

Compound: PmTlCd
Source: Alexandria
Functional: PBE
Structure: relaxed

- ΔE to the lowest computed polymorph: 10.6 meV per atom
- Crystal system: trigonal
- DFT formation energy: -0.311 eV/atom
- Final energy: -2.9886 eV per atom

abc: 3.7221 5.0123 5.0123
angles: 120.00 90.00 90.00
Positions (direct):
Tl  0.1372  0.0000  0.0000
Cd  0.1917  0.3333  0.6667
Pm  0.6711  0.6667  0.3333

Compound: Pm5TlCd2
Source: Alexandria
Functional: PBE
Structure: relaxed

- ΔE to the lowest computed polymorph: 9.9 meV per atom
- Crystal system: tetragonal
- DFT formation energy: -0.208 eV/atom
- Final energy: -3.7013 eV per atom

abc: 7.9610 7.9610 9.6147
angles: 114.46 114.46 90.00
Positions (direct):
Pm  0.5080  0.6823  0.6903
Pm  0.8177  0.9920  0.3097
Pm  0.0000  0.0000  0.0000
Pm  0.5000  0.5000  0.0000
Pm  0.1823  0.0080  0.6903
Pm  0.6823  0.1823  0.6903
Pm  0.0080  0.5080  0.6903
Pm  0.3177  0.8177  0.3097
Pm  0.9920  0.4920  0.3097
Pm  0.4920  0.3177  0.3097
Tl  0.7500  0.7500  0.5000
Tl  0.2500  0.2500  0.5000
Cd  0.1281  0.3719  0.0000
Cd  0.6281  0.1281  0.0000
Cd  0.3719  0.8719  0.0000
Cd  0.8719  0.6281  0.0000

Compound: Pm2TlCd6
Source: Alexandria
Functional: PBE
Structure: relaxed

- ΔE to the lowest computed polymorph: 18.9 meV per atom
- Crystal system: trigonal
- DFT formation energy: -0.198 eV/atom
- Final energy: -2.1270 eV per atom

abc: 6.2151 6.5129 6.5129
angles: 60.01 90.01 90.01
Positions (direct):
Pm  0.8358  0.6671  0.6671
Pm  0.1642  0.3329  0.3329
Tl  0.0000  0.0000  0.0000
Cd  0.3336  0.3661  0.8173
Cd  0.3323  0.8167  0.8167
Cd  0.3336  0.8173  0.3661
Cd  0.6664  0.6339  0.1827
Cd  0.6677  0.1833  0.1833
Cd  0.6664  0.1827  0.6339

Compound: Pm3TlCd2
Source: Alexandria
Functional: PBE
Structure: relaxed

- ΔE to the lowest computed polymorph: 3.7 meV per atom
- Crystal system: tetragonal
- DFT formation energy: -0.336 eV/atom
- Final energy: -3.4105 eV per atom

abc: 3.8078 3.8078 11.8240
angles: 90.00 90.00 90.00
Positions (direct):
Pm  0.0000  0.0000  0.0000
Pm  0.0000  0.0000  0.6728
Pm  0.0000  0.0000  0.3272
Tl  0.5000  0.5000  0.5000
Cd  0.5000  0.5000  0.8389
Cd  0.5000  0.5000  0.1611